Record 1
Compound: TbHoGaCo
Source: Alexandria via LeMat-Bulk
Functional: PBE
Structure: relaxed

Unit cell a=4.920 b=4.920 c=4.920 alpha=60.00 beta=60.00 gamma=60.00
Fractional coordinates of all 4 atoms:
Tb: 0.000 0.000 0.000
Ho: 0.500 0.500 0.500
Ga: 0.250 0.250 0.250
Co: 0.750 0.750 0.750

- crystal system = cubic
- energy above the lowest structure with this stoichiometry (meV/atom) = 63.4
- density of states at the Fermi level (states/eV per cell) = 2.741

Record 2
Compound: Na2LiY
Source: Alexandria via LeMat-Bulk
Functional: PBE
Structure: relaxed

Unit cell a=12.528 b=12.528 c=12.528 alpha=15.64 beta=15.64 gamma=15.64
Fractional coordinates of all 4 atoms:
Na: 0.092 0.092 0.092
Na: 0.908 0.908 0.908
Li: 0.500 0.500 0.500
Y: 0.000 0.000 0.000

- crystal system = trigonal
- energy above the lowest structure with this stoichiometry (meV/atom) = 0.0
- density of states at the Fermi level (states/eV per cell) = 3.407

Record 3
Compound: NaZnAs2W
Source: Alexandria via LeMat-Bulk
Functional: PBE
Structure: relaxed

Unit cell a=4.824 b=4.824 c=6.091 alpha=90.00 beta=90.00 gamma=90.00
Fractional coordinates of all 5 atoms:
Na: 0.000 0.000 0.000
Zn: 0.500 0.500 0.000
As: 0.000 0.500 0.500
As: 0.500 0.000 0.500
W: 0.000 0.000 0.500

- crystal system = tetragonal
- density of states at the Fermi level (states/eV per cell) = 5.085

| no. | spin magnetization (μB per cell) | energy of formation (eV per atom) |
| --- | --- | --- |
| 1 | 1.03 | -0.322 |
| 2 | 0.00 | 0.226 |
| 3 | 0.65 | 0.607 |